# 1
Here is a geometry-optimized LaMg2Rh structure from the Alexandria database. Energies are from PBE.

Values from the calculation:
- space group = R-3m, No. 166
- calculated volume (Å³/f.u.) = 89
- ΔH_f (0 K) (eV/atom) = -0.071
- final energy (eV/atom) = -3.938

Lattice parameters (Å, degrees): 10.1257 10.1257 10.1257 18.28 18.28 18.28
Last column: nearest neighbours and their distance in Å.
Fractional coordinates of all 4 atoms:
1 Mg 0.5194 0.5194 0.5194  3 Rh 2.66
2 La 0.7500 0.7500 0.7500  6 La 3.22, 6 Mg 3.59
3 Mg 0.9806 0.9806 0.9806  3 Rh 2.66
4 Rh 0.2500 0.2500 0.2500  6 Mg 2.66

# 2
Here is a geometry-optimized LaMg2Rh structure from the Alexandria database. Energies are from PBE.

Values from the calculation:
- space group = C2/m, No. 12
- calculated volume (Å³/f.u.) = 92
- ΔH_f (0 K) (eV/atom) = -0.076
- final energy (eV/atom) = -3.943

Lattice parameters (Å, degrees): 4.9860 6.3538 3.2656 77.01 85.30 111.80
Last column: nearest neighbours and their distance in Å.
Fractional coordinates of all 4 atoms:
1 La 0.5000 0.5000 0.0000  4 Rh 2.87-3.09
2 Rh 0.0000 0.5000 0.5000  4 La 2.87-3.09
3 Mg 0.5000 0.0000 0.5000  4 Mg 2.87-3.09
4 Mg 0.0000 0.0000 0.0000  4 Mg 2.87-3.09

# 3
Here is a geometry-optimized LaMg5Rh6 structure from the Alexandria database. Energies are from PBE.

Values from the calculation:
- space group = Cmmm, No. 65
- calculated volume (Å³/f.u.) = 196
- ΔH_f (0 K) (eV/atom) = -0.518
- final energy (eV/atom) = -5.268

Lattice parameters (Å, degrees): 4.5073 6.4454 7.1232 90.00 108.39 90.00
Last column: nearest neighbours and their distance in Å.
Fractional coordinates of all 12 atoms:
1 Mg 0.3269 0.0000 0.6525  8 Rh 2.69-2.90
2 La 0.0000 0.0000 0.0000  8 Rh 2.82-2.83
3 Rh 0.8310 0.2579 0.6606  7 Mg 2.69-2.80, 1 La 2.83
4 Mg 0.6664 0.5000 0.3344  8 Rh 2.70-2.74
5 Mg 0.3336 0.5000 0.6656  8 Rh 2.70-2.74
6 Mg 0.0000 0.5000 0.0000  8 Rh 2.72-2.77
7 Rh 0.8309 0.7421 0.6606  7 Mg 2.69-2.80, 1 La 2.83
8 Mg 0.6731 0.0000 0.3475  8 Rh 2.69-2.90
9 Rh 0.1690 0.7421 0.3394  7 Mg 2.69-2.80, 1 La 2.83
10 Rh 0.1691 0.2579 0.3394  7 Mg 2.69-2.80, 1 La 2.83
11 Rh 0.5000 0.7365 0.0000  6 Mg 2.72-2.90, 2 La 2.82
12 Rh 0.5000 0.2635 0.0000  6 Mg 2.72-2.90, 2 La 2.82

# 4
Here is a geometry-optimized LaMg2Rh structure from the Alexandria database. Energies are from PBE.

Values from the calculation:
- space group = Immm, No. 71
- calculated volume (Å³/f.u.) = 93
- ΔH_f (0 K) (eV/atom) = -0.330
- final energy (eV/atom) = -4.197

Lattice parameters (Å, degrees): 6.4281 6.4281 6.4281 150.40 134.23 55.45
Last column: nearest neighbours and their distance in Å.
Fractional coordinates of all 4 atoms:
1 Rh 0.7500 0.2500 0.5000  4 Mg 2.80, 4 La 2.99
2 Mg 0.9493 0.9493 0.0000  2 Rh 2.80
3 La 0.2500 0.7500 0.5000  4 Rh 2.99, 2 La 3.28
4 Mg 0.5507 0.5507 0.0000  2 Rh 2.80

# 5
Here is a geometry-optimized La3Mg2Rh3 structure from the Alexandria database. Energies are from PBE.

Values from the calculation:
- space group = P6_3/mcm, No. 193
- calculated volume (Å³/f.u.) = 183
- ΔH_f (0 K) (eV/atom) = -0.606
- final energy (eV/atom) = -5.610

Lattice parameters (Å, degrees): 5.9655 8.4216 8.4216 120.00 90.00 90.00
Last column: nearest neighbours and their distance in Å.
Fractional coordinates of all 16 atoms:
1 La 0.2500 0.2702 0.2702  5 Rh 2.83-3.16
2 La 0.7500 0.0000 0.2702  5 Rh 2.83-3.16
3 Rh 0.7500 0.3934 0.3934  5 La 2.83-3.16, 4 Mg 2.99
4 Rh 0.7500 0.0000 0.6066  5 La 2.83-3.16, 4 Mg 2.99
5 Mg 0.5000 0.6667 0.3333  2 Mg 2.98, 6 Rh 2.99
6 Rh 0.2500 0.6066 0.6066  5 La 2.83-3.16, 4 Mg 2.99
7 La 0.7500 0.7298 0.7298  5 Rh 2.83-3.16
8 Mg 0.5000 0.3333 0.6667  2 Mg 2.98, 6 Rh 2.99
9 Rh 0.2500 0.0000 0.3934  5 La 2.83-3.16, 4 Mg 2.99
10 La 0.2500 0.7298 0.0000  5 Rh 2.83-3.16
11 Rh 0.2500 0.3934 0.0000  5 La 2.83-3.16, 4 Mg 2.99
12 Rh 0.7500 0.6066 0.0000  5 La 2.83-3.16, 4 Mg 2.99
13 La 0.2500 0.0000 0.7298  5 Rh 2.83-3.16
14 La 0.7500 0.2702 0.0000  5 Rh 2.83-3.16
15 Mg 0.0000 0.3333 0.6667  2 Mg 2.98, 6 Rh 2.99
16 Mg 0.0000 0.6667 0.3333  2 Mg 2.98, 6 Rh 2.99

# 6
Here is a geometry-optimized La2MgRh structure from the Alexandria database. Energies are from PBE.

Values from the calculation:
- space group = P2/m, No. 10
- calculated volume (Å³/f.u.) = 110
- ΔH_f (0 K) (eV/atom) = -0.406
- final energy (eV/atom) = -5.106

Lattice parameters (Å, degrees): 3.8627 4.0275 7.6476 67.66 90.00 90.00
Last column: nearest neighbours and their distance in Å.
Fractional coordinates of all 4 atoms:
1 Mg 0.5000 0.2500 0.2500  8 La 3.41-3.48, 2 Rh 3.58
2 La 0.0000 0.5596 0.5358  2 Rh 2.82
3 La 0.0000 0.9404 0.9642  2 Rh 2.82
4 Rh 0.5000 0.7500 0.7500  4 La 2.82